Arrangement w

Computed, not measured: an optimized crystal structure of CoPbW at the PBE level of DFT.

Geometry as extended XYZ:
```
3
Lattice="3.106 0.000 0.000 -1.553 2.690 0.000 0.000 0.000 6.524" Properties=species:S:1:pos:R:3 pbc="T T T"
Co 0.000 0.000 6.279
Pb 0.000 1.794 2.101
W 1.553 0.897 4.668
```

Values from the calculation:
Space-group type: P3m1
Magnetic moment (μB per cell): 0.00


Arrangement x

Computed, not measured: an optimized crystal structure of CoPbW at the PBE level of DFT.

Geometry as extended XYZ:
```
3
Lattice="6.140 0.006 -0.006 5.389 2.939 0.029 0.752 0.148 2.930" Properties=species:S:1:pos:R:3 pbc="T T T"
Co 11.272 2.878 0.092
Pb 7.874 1.996 1.009
W 4.663 1.163 1.875
```

Values from the calculation:
Space-group type: Fmm2
Magnetic moment (μB per cell): 0.00


Order from most stable to least stable according to the calculation: arrangement x, arrangement w